[1]
## ZrSc3Cr (PBE)

Data for crystalline ZrSc3Cr at its relaxed geometry.

abc: 5.0181 5.0181 5.0181
angles: 90.00 90.00 90.00
Positions (direct):
Zr (0.0000, 0.0000, 0.0000)
Sc (0.0000, 0.0000, 0.5000)
Sc (0.0000, 0.5000, 0.0000)
Sc (0.5000, 0.0000, 0.0000)
Cr (0.5000, 0.5000, 0.5000)

Computed properties:
E above lowest polymorph in eV/f.u.: 4.736
Formation energy in eV/atom: 1.448
D(E_F) in states/eV per atom: 2.2735

[2]
## ZrScCr (PBE)

Data for crystalline ZrScCr at its relaxed geometry.

abc: 9.5430 4.2089 6.0021
angles: 90.00 90.00 90.00
Positions (direct):
Zr (0.2083, 0.2500, 0.1430)
Zr (0.2917, 0.7500, 0.6430)
Zr (0.7083, 0.2500, 0.3570)
Zr (0.7917, 0.7500, 0.8570)
Sc (0.0549, 0.2500, 0.6503)
Sc (0.4451, 0.7500, 0.1503)
Sc (0.5549, 0.2500, 0.8497)
Sc (0.9451, 0.7500, 0.3497)
Cr (0.0573, 0.7500, 0.9342)
Cr (0.4427, 0.2500, 0.4342)
Cr (0.5573, 0.7500, 0.5658)
Cr (0.9427, 0.2500, 0.0658)

Computed properties:
E above lowest polymorph in eV/f.u.: 0.254
Formation energy in eV/atom: 0.281
D(E_F) in states/eV per atom: 1.3741

[3]
## Zr4ScCr (PBE)

Data for crystalline Zr4ScCr at its relaxed geometry.

abc: 5.8240 5.8240 5.8240
angles: 60.00 60.00 60.00
Positions (direct):
Zr (0.3758, 0.3758, 0.3758)
Zr (0.3758, 0.3758, 0.8726)
Zr (0.3758, 0.8726, 0.3758)
Zr (0.8726, 0.3758, 0.3758)
Sc (0.7500, 0.7500, 0.7500)
Cr (0.0000, 0.0000, 0.0000)

Computed properties:
Formation energy in eV/atom: 0.467
D(E_F) in states/eV per atom: 1.4505

[4]
## ZrScCr (PBE)

Data for crystalline ZrScCr at its relaxed geometry.

abc: 4.7005 4.7005 3.1340
angles: 90.00 90.00 120.00
Positions (direct):
Zr (0.0000, 0.0000, 0.0000)
Sc (0.6667, 0.3333, 0.5714)
Cr (0.3333, 0.6667, 0.2882)

Computed properties:
E above lowest polymorph in eV/f.u.: 0.222
Formation energy in eV/atom: 0.270
D(E_F) in states/eV per atom: 1.3317

[5]
## ZrSc3Cr (PBE)

Data for crystalline ZrSc3Cr at its relaxed geometry.

abc: 4.8514 4.8514 4.8514
angles: 90.00 90.00 90.00
Positions (direct):
Zr (0.0000, 0.0000, 0.0000)
Sc (0.0000, 0.5000, 0.5000)
Sc (0.5000, 0.0000, 0.5000)
Sc (0.5000, 0.5000, 0.0000)
Cr (0.5000, 0.5000, 0.5000)

Computed properties:
E above lowest polymorph in eV/f.u.: 0.000
Formation energy in eV/atom: 0.501
D(E_F) in states/eV per atom: 1.6028

[6]
## ZrScCr (PBE)

Data for crystalline ZrScCr at its relaxed geometry.

abc: 4.5722 4.5722 4.5722
angles: 60.00 60.00 60.00
Positions (direct):
Zr (0.0000, 0.0000, 0.0000)
Sc (0.5000, 0.5000, 0.5000)
Cr (0.7500, 0.7500, 0.7500)

Computed properties:
E above lowest polymorph in eV/f.u.: 1.222
Formation energy in eV/atom: 0.604
D(E_F) in states/eV per atom: 1.5231

[7]
## ZrScCr4 (PBE)

Data for crystalline ZrScCr4 at its relaxed geometry.

abc: 5.0282 5.0282 5.0282
angles: 60.00 60.00 60.00
Positions (direct):
Zr (0.0000, 0.0000, 0.0000)
Sc (0.2500, 0.2500, 0.2500)
Cr (0.1259, 0.6247, 0.6247)
Cr (0.6247, 0.1259, 0.6247)
Cr (0.6247, 0.6247, 0.1259)
Cr (0.6247, 0.6247, 0.6247)

Computed properties:
Formation energy in eV/atom: 0.020
D(E_F) in states/eV per atom: 0.9317

[8]
## Zr2ScCr2 (PBE)

Data for crystalline Zr2ScCr2 at its relaxed geometry.

abc: 7.5968 7.5968 3.2758
angles: 90.00 90.00 90.00
Positions (direct):
Zr (0.1985, 0.3015, 0.0000)
Zr (0.3015, 0.8015, 0.0000)
Zr (0.6985, 0.1985, 0.0000)
Zr (0.8015, 0.6985, 0.0000)
Sc (0.0000, 0.0000, 0.5000)
Sc (0.5000, 0.5000, 0.5000)
Cr (0.0923, 0.5923, 0.5000)
Cr (0.4077, 0.0923, 0.5000)
Cr (0.5923, 0.9077, 0.5000)
Cr (0.9077, 0.4077, 0.5000)

Computed properties:
Formation energy in eV/atom: 0.207
D(E_F) in states/eV per atom: 1.5789

[9]
## ZrScCr (PBE)

Data for crystalline ZrScCr at its relaxed geometry.

abc: 5.9262 5.9262 5.9262
angles: 147.74 147.74 46.27
Positions (direct):
Zr (0.0000, 0.0000, 0.0000)
Sc (0.2822, 0.2822, 0.0000)
Cr (0.6292, 0.6292, 0.0000)

Computed properties:
E above lowest polymorph in eV/f.u.: 0.000
Formation energy in eV/atom: 0.196
D(E_F) in states/eV per atom: 1.1578

[10]
## ZrSc4Cr (PBE)

Data for crystalline ZrSc4Cr at its relaxed geometry.

abc: 5.8367 5.8367 5.8367
angles: 60.00 60.00 60.00
Positions (direct):
Zr (0.0000, 0.0000, 0.0000)
Sc (0.3743, 0.3743, 0.3743)
Sc (0.3743, 0.3743, 0.8772)
Sc (0.3743, 0.8772, 0.3743)
Sc (0.8772, 0.3743, 0.3743)
Cr (0.7500, 0.7500, 0.7500)

Computed properties:
Formation energy in eV/atom: 0.510
D(E_F) in states/eV per atom: 1.6399

[11]
## Cr2Se (PBE)

Data for crystalline Cr2Se at its relaxed geometry.

abc: 4.2580 4.2580 9.2496
angles: 103.96 103.96 40.46
Positions (direct):
Cr (0.0373, 0.0373, 0.3451)
Cr (0.3370, 0.3370, 0.4294)
Cr (0.6630, 0.6630, 0.5706)
Cr (0.9627, 0.9627, 0.6549)
Se (0.3007, 0.3007, 0.7930)
Se (0.6993, 0.6993, 0.2070)

Computed properties:
E above lowest polymorph in eV/f.u.: 0.379
Raw formation energy in eV per atom: 0.01
D(E_F) in states/eV per atom: 0.6828

[12]
## Cr2Se (PBE)

Data for crystalline Cr2Se at its relaxed geometry.

abc: 7.0048 7.0048 3.5895
angles: 90.00 90.00 149.19
Positions (direct):
Cr (0.1096, 0.8904, 0.7500)
Cr (0.2493, 0.7507, 0.2500)
Cr (0.7507, 0.2493, 0.7500)
Cr (0.8904, 0.1096, 0.2500)
Se (0.3901, 0.6099, 0.7500)
Se (0.6099, 0.3901, 0.2500)

Computed properties:
E above lowest polymorph in eV/f.u.: 0.790
Raw formation energy in eV per atom: 0.15
D(E_F) in states/eV per atom: 0.9629

[13]
## Cr3Se (PBE)

Data for crystalline Cr3Se at its relaxed geometry.

abc: 5.0568 5.0568 3.9640
angles: 90.00 90.00 90.96
Positions (direct):
Cr (0.1221, 0.8779, 0.7500)
Cr (0.1725, 0.3561, 0.7500)
Cr (0.3561, 0.1725, 0.2500)
Cr (0.6439, 0.8275, 0.7500)
Cr (0.8275, 0.6439, 0.2500)
Cr (0.8779, 0.1221, 0.2500)
Se (0.3243, 0.6757, 0.2500)
Se (0.6757, 0.3243, 0.7500)

Computed properties:
E above lowest polymorph in eV/f.u.: 0.000
Raw formation energy in eV per atom: 0.22
D(E_F) in states/eV per atom: 0.8874

[14]
## Cr4Se (PBE)

Data for crystalline Cr4Se at its relaxed geometry.

abc: 4.6937 4.6937 4.6937
angles: 109.47 109.47 109.47
Positions (direct):
Cr (0.0000, 0.0000, 0.5000)
Cr (0.0000, 0.5000, 0.0000)
Cr (0.5000, 0.0000, 0.0000)
Cr (0.5000, 0.5000, 0.5000)
Se (0.0000, 0.0000, 0.0000)

Computed properties:
Raw formation energy in eV per atom: 1.17
D(E_F) in states/eV per atom: 1.7986

[15]
## CrSe4 (PBE)

Data for crystalline CrSe4 at its relaxed geometry.

abc: 5.7137 5.7137 5.7137
angles: 122.67 122.67 85.43
Positions (direct):
Cr (0.0000, 0.0000, 0.0000)
Se (0.2500, 0.7500, 0.5000)
Se (0.2896, 0.2896, 0.0000)
Se (0.7104, 0.7104, 0.0000)
Se (0.7500, 0.2500, 0.5000)

Computed properties:
E above lowest polymorph in eV/f.u.: 0.000
Raw formation energy in eV per atom: 0.24
D(E_F) in states/eV per atom: 0.4810